No. 1
## Ba2AcAs (PBE)

Data for a relaxed Ba2AcAs crystal.

Unit cell a=4.4299 b=4.4299 c=36.1859 alpha=90.00 beta=90.00 gamma=120.00
Last column: nearest neighbours and their distance in Å.
Space group R-3m (No. 166, hexagonal axes)
One atom of each set of equivalent atoms:
Ba 0.0000 0.0000 0.1150 [6 per cell]  3 As 3.17
Ac 0.0000 0.0000 0.0000 [3 per cell]  2 Ba 4.16, 6 Ac 4.43
As 0.0000 0.0000 0.5000 [3 per cell]  6 Ba 3.17



No. 2
## BaAc5As6 (PBE)

Data for a relaxed BaAc5As6 crystal.

Unit cell a=7.9393 b=13.7541 c=7.9288 alpha=90.00 beta=109.48 gamma=90.00
Last column: nearest neighbours and their distance in Å.
Space group C2/m (No. 12)
One atom of each set of equivalent atoms:
Ba 0.0000 0.0000 0.0000 [2 per cell]  6 As 3.33
Ac 0.0000 0.1649 0.5000 [4 per cell]  6 As 3.17-3.25
Ac 0.0000 0.3327 0.0000 [4 per cell]  6 As 3.22-3.24
Ac 0.0000 0.5000 0.5000 [2 per cell]  6 As 3.15-3.25
As 0.2413 0.5000 0.2553 [4 per cell]  5 Ac 3.15-3.24, 1 Ba 3.33
As 0.2428 0.3280 0.7448 [8 per cell]  5 Ac 3.17-3.25, 1 Ba 3.33



| no. | formation energy (eV per atom) | D(E_F) (states/eV/f.u.) |
| --- | --- | --- |
| 1 | -0.376 | 3.42 |
| 2 | -1.368 | 8.71 |